VASP calculation (PBE) on crystalline LaBeMo4 at its relaxed geometry.

For the formation energy, the calculation gives 0.633 eV per atom. The uncorrected energy is -0.590 Ry/atom.

The space group is F-43m (No. 216) and the conventional cell measures 7.659, 7.659 and 7.659 Å, with angles of 90.00, 90.00 and 90.00 degrees. Symmetry generates all atoms from La at (0.000, 0.000, 0.000), Be at (0.250, 0.250, 0.250) and Mo at (0.125, 0.125, 0.625).